[1]
This record from Alexandria via LeMat-Bulk describes crystalline DyHo2HfP4 at its relaxed geometry. The functional is PBE.

Calculated values
Calculated total energy: -7.2026 eV/atom

Cell lengths 6.7688, 3.9033, 6.7708 Å; angles 90.00, 109.25, 90.00 degrees
Last column: nearest neighbours and their distance in Å.
Space group P2/m (No. 10)
Symmetry-distinct sites (fractional):
1 Dy 0.0000 0.0000 0.0000  6 P 2.77
2 Ho 0.5000 0.0000 0.5000  6 P 2.76
3 Ho 0.5000 0.5000 0.0000  6 P 2.84
4 Hf 0.0000 0.5000 0.5000  6 P 2.68-2.70
5 P 0.2378 0.0000 0.7370  2 Hf 2.70, 3 Ho 2.76-2.84, 1 Dy 2.77
6 P 0.2440 0.5000 0.2577  1 Hf 2.68, 3 Ho 2.76-2.84, 2 Dy 2.77

***

[2]
This record from Alexandria via LeMat-Bulk describes crystalline PmTmRuPb at its relaxed geometry. The functional is PBE.

Calculated values
Excess energy over the best structure of this formula in the dataset: 0.852 eV/f.u.

Cell lengths 7.2894, 7.2894, 7.2894 Å; angles 90.00, 90.00, 90.00 degrees
Last column: nearest neighbours and their distance in Å.
Space group F-43m (No. 216)
Symmetry-distinct sites (fractional):
1 Pm 0.0000 0.0000 0.0000  4 Pb 3.16, 4 Ru 3.16
2 Tm 0.0000 0.0000 0.5000  4 Pb 3.16, 4 Ru 3.16
3 Ru 0.2500 0.2500 0.2500  4 Pm 3.16, 4 Tm 3.16
4 Pb 0.2500 0.2500 0.7500  4 Pm 3.16, 4 Tm 3.16

***

[3]
This record from Alexandria via LeMat-Bulk describes crystalline TbSb3Pd7 at its relaxed geometry. The functional is PBE.

Calculated values
E_form (uncorrected): -0.45 eV per atom

Cell lengths 8.5421, 9.8008, 5.5898 Å; angles 90.00, 113.13, 90.00 degrees
Last column: nearest neighbours and their distance in Å.
Space group C2/m (No. 12)
Symmetry-distinct sites (fractional):
1 Tb 0.0000 0.0000 0.0000  8 Pd 2.79-3.02
2 Sb 0.0000 0.2675 0.5000  7 Pd 2.62-2.74
3 Sb 0.0000 0.5000 0.0000  6 Pd 2.70-2.86
4 Pd 0.0000 0.0000 0.5000  2 Sb 2.62, 2 Tb 2.79, 2 Pd 2.83
5 Pd 0.1783 0.2693 0.1853  3 Sb 2.64-2.74, 2 Pd 2.82-2.93
6 Pd 0.1837 0.5000 0.5517  3 Sb 2.72-2.86, 6 Pd 2.83-3.04, 1 Tb 2.87

***

[4]
This record from Alexandria via LeMat-Bulk describes crystalline Ce3PdRh2 at its relaxed geometry. The functional is PBE.

Calculated values
Calculated total energy: -6.9577 eV/atom

Cell lengths 12.8293, 5.7323, 8.0810 Å; angles 90.00, 108.38, 90.00 degrees
Last column: nearest neighbours and their distance in Å.
Space group C2/c (No. 15)
Symmetry-distinct sites (fractional):
1 Ce 0.0000 0.0016 0.2500  4 Rh 2.83, 2 Pd 2.87
2 Ce 0.1744 0.4991 0.0872  4 Rh 2.83-2.87, 2 Pd 2.93
3 Pd 0.0000 0.4982 0.7500  6 Ce 2.87-2.93
4 Rh 0.1629 0.0009 0.5814  6 Ce 2.83-2.87

***

[5]
This record from Alexandria via LeMat-Bulk describes crystalline ZrInCuTc at its relaxed geometry. The functional is PBE.

Calculated values
Calculated total energy: -6.4537 eV/atom

Cell lengths 6.5469, 6.5469, 6.5469 Å; angles 90.00, 90.00, 90.00 degrees
Last column: nearest neighbours and their distance in Å.
Space group F-43m (No. 216)
Symmetry-distinct sites (fractional):
1 Zr 0.0000 0.0000 0.0000  4 Tc 2.83, 4 Cu 2.83
2 In 0.0000 0.0000 0.5000  4 Tc 2.83, 4 Cu 2.83
3 Cu 0.2500 0.2500 0.2500  4 Zr 2.83, 4 In 2.83
4 Tc 0.2500 0.2500 0.7500  4 Zr 2.83, 4 In 2.83

***

[6]
This record from Alexandria via LeMat-Bulk describes crystalline Ce4Tl2I5 at its relaxed geometry. The functional is PBE.

Calculated values
E_form (uncorrected): -0.77 eV per atom

Cell lengths 24.9649, 4.1676, 8.9896 Å; angles 90.00, 94.82, 90.00 degrees
Last column: nearest neighbours and their distance in Å.
Space group C2/m (No. 12)
Symmetry-distinct sites (fractional):
1 Ce 0.0233 0.0000 0.2793  3 I 3.22-3.28, 4 Tl 3.30-3.40
2 Ce 0.1779 0.5000 0.4456  1 Tl 3.16, 5 I 3.20-3.22
3 Tl 0.0605 0.5000 0.5526  1 Tl 3.09, 5 Ce 3.16-3.40
4 I 0.0000 0.5000 0.0000  4 Ce 3.28
5 I 0.1444 0.0000 0.1802  3 Ce 3.22
6 I 0.2102 0.0000 0.7083  3 Ce 3.20-3.22

***

[7]
This record from Alexandria via LeMat-Bulk describes crystalline BeGaH2Pb at its relaxed geometry. The functional is PBE.

Calculated values
Calculated total energy: -2.7570 eV/atom

Cell lengths 3.8865, 3.8865, 5.4272 Å; angles 90.00, 90.00, 90.00 degrees
Last column: nearest neighbours and their distance in Å.
Space group P4/mmm (No. 123)
Symmetry-distinct sites (fractional):
1 Be 0.0000 0.0000 0.0000  2 Pb 2.71, 4 Ga 2.75
2 Ga 0.5000 0.5000 0.0000  4 Be 2.75
3 H 0.0000 0.5000 0.5000  2 Pb 1.94
4 Pb 0.0000 0.0000 0.5000  4 H 1.94

***

[8]
This record from Alexandria via LeMat-Bulk describes crystalline U3TiTl3S8 at its relaxed geometry. The functional is PBE.

Calculated values
E_form (uncorrected): -1.10 eV per atom

Cell lengths 7.7301, 7.7301, 23.2304 Å; angles 90.00, 90.00, 120.00 degrees
Last column: nearest neighbours and their distance in Å.
Space group R-3m (No. 166, hexagonal axes)
Symmetry-distinct sites (fractional):
1 U 0.0000 0.5000 0.0000  6 S 2.72-2.73
2 Ti 0.0000 0.0000 0.0000  6 S 2.56
3 Tl 0.0000 0.5000 0.5000  6 S 3.21-3.24
4 S 0.0000 0.0000 0.2658  3 U 2.73
5 S 0.0192 0.5096 0.7295  1 Ti 2.56, 2 U 2.72

***

[9]
This record from Alexandria via LeMat-Bulk describes crystalline Na8ZnPb2 at its relaxed geometry. The functional is PBE.

Calculated values
Calculated total energy: -1.7551 eV/atom

Cell lengths 9.0352, 15.8192, 5.7987 Å; angles 90.00, 125.13, 90.00 degrees
Last column: nearest neighbours and their distance in Å.
Space group C2/m (No. 12)
Symmetry-distinct sites (fractional):
1 Na 0.0000 0.1997 0.0000  1 Zn 3.16, 4 Na 3.39, 2 Pb 3.39
2 Na 0.1182 0.5000 0.8052  3 Na 2.90-3.23, 1 Zn 2.95
3 Na 0.2308 0.1292 0.6743  4 Na 3.23-3.43, 2 Pb 3.26-3.35
4 Zn 0.0000 0.0000 0.0000  4 Na 2.95-3.16
5 Pb 0.0000 0.3113 0.5000  8 Na 3.26-3.39

***

[10]
This record from Alexandria via LeMat-Bulk describes crystalline CeGdPd2 at its relaxed geometry. The functional is PBE.

Calculated values
Excess energy over the best structure of this formula in the dataset: 0.228 eV/f.u.

Cell lengths 4.1197, 4.1197, 20.4290 Å; angles 90.00, 90.00, 120.00 degrees
Last column: nearest neighbours and their distance in Å.
Space group R-3m (No. 166, hexagonal axes)
Symmetry-distinct sites (fractional):
1 Ce 0.0000 0.0000 0.0000  6 Pd 2.91
2 Gd 0.0000 0.0000 0.5000  6 Pd 2.94
3 Pd 0.0000 0.0000 0.2510  3 Ce 2.91, 3 Gd 2.94

***

Number 1: density of states at the Fermi level 1.43 states/eV/cell, magnetization 0.00 μB/cell. Number 2: density of states at the Fermi level 9.79 states/eV/cell, magnetization 0.00 μB/cell. Number 3: density of states at the Fermi level 9.17 states/eV/cell, magnetization 0.00 μB/cell. Number 4: density of states at the Fermi level 38.29 states/eV/cell, magnetization 0.63 μB/cell. Number 5: density of states at the Fermi level 12.40 states/eV/cell, magnetization 0.00 μB/cell. Number 6: density of states at the Fermi level 63.53 states/eV/cell, magnetization 10.19 μB/cell. Number 7: density of states at the Fermi level 1.58 states/eV/cell, magnetization 0.00 μB/cell. Number 8: density of states at the Fermi level 38.53 states/eV/cell, magnetization 27.03 μB/cell. Number 9: density of states at the Fermi level 10.99 states/eV/cell, magnetization 0.00 μB/cell. Number 10: density of states at the Fermi level 18.39 states/eV/cell, magnetization 19.66 μB/cell.